No. 1
Entry from Alexandria: a relaxed structure of InSnAs (PBE-GGA).

Values from the calculation:
* N(E_F): 0.466 states/eV per atom
* electronic total energy: -0.142 Ha/atom

The structure in POSCAR format:
```
InSnAs
1.0
4.1322 0.0000 0.0000
-2.0661 3.5786 0.0000
0.0000 0.0000 5.4277
In Sn As
1 1 1
Direct
0.0000 0.0000 0.0000
0.3333 0.6667 0.5958
0.6667 0.3333 0.3142
```

No. 2
Entry from Alexandria: a relaxed structure of In2Sn2As5 (PBE-GGA).

Values from the calculation:
* N(E_F): 0.424 states/eV per atom
* electronic total energy: -0.149 Ha/atom

The structure in POSCAR format:
```
In2Sn2As5
1.0
2.1065 1.2162 16.7903
-2.1065 1.2162 16.7903
0.0000 -2.4324 16.7903
In Sn As
2 2 5
Direct
0.0000 0.0000 0.0000
0.1711 0.1711 0.1711
0.5853 0.5853 0.5853
0.7641 0.7641 0.7641
0.0740 0.0740 0.0740
0.2238 0.2238 0.2238
0.6886 0.6886 0.6886
0.8175 0.8175 0.8175
0.9466 0.9466 0.9466
```

- The highest N(E_F) belongs to which entry?
  InSnAs

- The highest N(E_F) belongs to which entry?
  InSnAs

- The highest electronic total energy belongs to which entry?
  InSnAs

- Which value of electronic total energy does entry 1 give?
  -0.142 Ha/atom